(1)
{"formula": "MnReTe2", "functional": "PBE-GGA", "state": "relaxed", "lattice": [[-2.0136, 1.4134, 2.0735], [-0.2553, -3.1805, -0.4137], [5.8519, -1.3266, 6.5872]], "species": ["Te", "Te", "Mn", "Re"], "fractional_positions": [[0.0000, 0.0000, 0.9942], [0.0000, 0.0000, 0.5058], [0.5000, 0.5000, 0.2500], [0.5000, 0.5000, 0.7500]], "relative_energy_mev_per_atom": 826.6, "total_magnetization_mub_per_cell": 3.99}

---

(2)
{"formula": "ReTc2Ir", "functional": "PBE-GGA", "state": "relaxed", "lattice": [[-1.7831, 2.0818, -0.0825], [-0.6962, -0.4930, 2.6062], [5.5803, 4.8752, 2.4130]], "species": ["Ir", "Tc", "Tc", "Re"], "fractional_positions": [[0.5000, 0.5000, 0.2500], [0.0000, 0.0000, 0.5008], [0.0000, 0.0000, 0.9992], [0.5000, 0.5000, 0.7500]], "relative_energy_mev_per_atom": 129.1, "total_magnetization_mub_per_cell": 0.00}

---

(3)
{"formula": "Zr6HC2N3", "functional": "PBE-GGA", "state": "relaxed", "lattice": [[5.7094, 0.0053, -0.0055], [-2.8488, 4.9479, -0.0055], [-0.9599, -1.6621, 5.4003]], "species": ["Zr", "Zr", "Zr", "Zr", "Zr", "Zr", "N", "N", "N", "C", "C", "H"], "fractional_positions": [[0.0833, 0.4337, 0.2530], [0.9167, 0.5663, 0.7470], [0.4337, 0.0833, 0.2530], [0.5663, 0.9167, 0.7470], [0.7355, 0.7355, 0.2623], [0.2645, 0.2645, 0.7377], [0.5000, 0.5000, 0.5000], [0.8315, 0.1685, 0.5000], [0.1685, 0.8315, 0.5000], [0.3341, 0.6659, 0.0000], [0.6659, 0.3341, 0.0000], [0.0000, 0.0000, 0.0000]], "e_tot_ev_per_atom": -9.4047, "total_magnetization_mub_per_cell": 0.00}

---

(4)
{"formula": "AlCu2IrAu", "functional": "PBE-GGA", "state": "relaxed", "lattice": [[-3.8706, -0.7411, 1.8105], [2.0700, -1.7051, 3.7274], [0.0708, 3.9580, 1.7713]], "species": ["Cu", "Cu", "Ir", "Al", "Au"], "fractional_positions": [[0.5000, 0.0000, 0.0000], [0.0000, 0.0000, 0.5000], [0.5000, 0.5000, 0.5000], [0.0000, 0.0000, 0.0000], [0.0000, 0.5000, 0.0000]], "e_tot_ev_per_atom": -3.7870, "total_magnetization_mub_per_cell": 0.00}